(1)
Compound: MnBe4Mo
Source: the Alexandria database
Functional: PBE
Structure: optimized geometry

Structure (CIF):
```
data_MnBe4Mo
_chemical_formula_sum 'Mn4 Be16 Mo4'
_symmetry_space_group_name_H-M 'F -4 3 m'
_symmetry_Int_Tables_number 216
_symmetry_space_group_name_Hall 'F -4 2 3'
_cell_length_a 6.083
_cell_length_b 6.083
_cell_length_c 6.083
_cell_angle_alpha 90.00
_cell_angle_beta 90.00
_cell_angle_gamma 90.00
loop_
_atom_site_label
_atom_site_fract_x
_atom_site_fract_y
_atom_site_fract_z
Mn1 0.000 0.000 0.000
Be1 0.125 0.125 0.375
Mo1 0.250 0.250 0.750
```

Calculated values
Crystal system: cubic

=====

(2)
Compound: Mn2BeMo
Source: the Alexandria database
Functional: PBE
Structure: optimized geometry

Structure (CIF):
```
data_Mn2BeMo
_chemical_formula_sum 'Mn2 Be1 Mo1'
_symmetry_space_group_name_H-M 'P 1 m 1'
_symmetry_Int_Tables_number 6
_symmetry_space_group_name_Hall 'P -2y'
_cell_length_a 2.573
_cell_length_b 3.905
_cell_length_c 4.803
_cell_angle_alpha 90.00
_cell_angle_beta 103.10
_cell_angle_gamma 90.00
loop_
_atom_site_label
_atom_site_fract_x
_atom_site_fract_y
_atom_site_fract_z
Mn1 0.000 0.000 0.000
Mn2 0.260 0.500 0.782
Be1 0.404 0.000 0.537
Mo1 0.764 0.500 0.294
```

Calculated values
Crystal system: monoclinic

=====

(3)
Compound: MnBe2Mo
Source: the Alexandria database
Functional: PBE
Structure: optimized geometry

Structure (CIF):
```
data_MnBe2Mo
_chemical_formula_sum 'Mn1 Be2 Mo1'
_symmetry_space_group_name_H-M 'P 4/m m m'
_symmetry_Int_Tables_number 123
_symmetry_space_group_name_Hall '-P 4 2'
_cell_length_a 3.614
_cell_length_b 3.614
_cell_length_c 3.439
_cell_angle_alpha 90.00
_cell_angle_beta 90.00
_cell_angle_gamma 90.00
loop_
_atom_site_label
_atom_site_fract_x
_atom_site_fract_y
_atom_site_fract_z
Mn1 0.000 0.000 0.000
Be1 0.000 0.500 0.500
Mo1 0.500 0.500 0.000
```

Calculated values
Crystal system: tetragonal
Excess energy over the best structure of this formula in the dataset: 101 meV/atom

=====

(4)
Compound: Mn2BeMo
Source: the Alexandria database
Functional: PBE
Structure: optimized geometry

Structure (CIF):
```
data_Mn2BeMo
_chemical_formula_sum 'Mn8 Be4 Mo4'
_symmetry_space_group_name_H-M 'F -4 3 m'
_symmetry_Int_Tables_number 216
_symmetry_space_group_name_Hall 'F -4 2 3'
_cell_length_a 5.781
_cell_length_b 5.781
_cell_length_c 5.781
_cell_angle_alpha 90.00
_cell_angle_beta 90.00
_cell_angle_gamma 90.00
loop_
_atom_site_label
_atom_site_fract_x
_atom_site_fract_y
_atom_site_fract_z
Mn1 0.000 0.000 0.000
Mn2 0.250 0.250 0.250
Be1 0.250 0.250 0.750
Mo1 0.000 0.000 0.500
```

Calculated values
Crystal system: cubic

=====

(5)
Compound: MnBe2Mo
Source: the Alexandria database
Functional: PBE
Structure: optimized geometry

Structure (CIF):
```
data_MnBe2Mo
_chemical_formula_sum 'Mn2 Be4 Mo2'
_symmetry_space_group_name_H-M 'I m m 2'
_symmetry_Int_Tables_number 44
_symmetry_space_group_name_Hall 'I 2 -2'
_cell_length_a 3.139
_cell_length_b 3.841
_cell_length_c 7.184
_cell_angle_alpha 90.00
_cell_angle_beta 90.00
_cell_angle_gamma 90.00
loop_
_atom_site_label
_atom_site_fract_x
_atom_site_fract_y
_atom_site_fract_z
Mn1 0.000 0.000 0.000
Be1 0.000 0.000 0.474
Be2 0.000 0.500 0.766
Mo1 0.000 0.500 0.237
```

Calculated values
Crystal system: orthorhombic
Excess energy over the best structure of this formula in the dataset: 52 meV/atom

=====

(6)
Compound: MnBeMo2
Source: the Alexandria database
Functional: PBE
Structure: optimized geometry

Structure (CIF):
```
data_MnBeMo2
_chemical_formula_sum 'Mn1 Be1 Mo2'
_symmetry_space_group_name_H-M 'P 1 m 1'
_symmetry_Int_Tables_number 6
_symmetry_space_group_name_Hall 'P -2y'
_cell_length_a 2.656
_cell_length_b 4.212
_cell_length_c 4.746
_cell_angle_alpha 90.00
_cell_angle_beta 98.26
_cell_angle_gamma 90.00
loop_
_atom_site_label
_atom_site_fract_x
_atom_site_fract_y
_atom_site_fract_z
Mn1 0.000 0.000 0.000
Be1 0.060 0.500 0.724
Mo1 0.458 0.000 0.521
Mo2 0.670 0.500 0.210
```

Calculated values
Crystal system: monoclinic

=====

(7)
Compound: MnBeMo4
Source: the Alexandria database
Functional: PBE
Structure: optimized geometry

Structure (CIF):
```
data_MnBeMo4
_chemical_formula_sum 'Mn4 Be4 Mo16'
_symmetry_space_group_name_H-M 'F -4 3 m'
_symmetry_Int_Tables_number 216
_symmetry_space_group_name_Hall 'F -4 2 3'
_cell_length_a 7.281
_cell_length_b 7.281
_cell_length_c 7.281
_cell_angle_alpha 90.00
_cell_angle_beta 90.00
_cell_angle_gamma 90.00
loop_
_atom_site_label
_atom_site_fract_x
_atom_site_fract_y
_atom_site_fract_z
Mn1 0.000 0.000 0.000
Be1 0.250 0.250 0.750
Mo1 0.124 0.124 0.376
```

Calculated values
Crystal system: cubic

=====

(8)
Compound: MnBe3Mo
Source: the Alexandria database
Functional: PBE
Structure: optimized geometry

Structure (CIF):
```
data_MnBe3Mo
_chemical_formula_sum 'Mn1 Be3 Mo1'
_symmetry_space_group_name_H-M 'P m -3 m'
_symmetry_Int_Tables_number 221
_symmetry_space_group_name_Hall '-P 4 2 3'
_cell_length_a 3.831
_cell_length_b 3.831
_cell_length_c 3.831
_cell_angle_alpha 90.00
_cell_angle_beta 90.00
_cell_angle_gamma 90.00
loop_
_atom_site_label
_atom_site_fract_x
_atom_site_fract_y
_atom_site_fract_z
Mn1 0.000 0.000 0.000
Be1 0.000 0.000 0.500
Mo1 0.500 0.500 0.500
```

Calculated values
Crystal system: cubic
Excess energy over the best structure of this formula in the dataset: 0 meV/atom

=====

(9)
Compound: Mn2BeMo
Source: the Alexandria database
Functional: PBE
Structure: optimized geometry

Structure (CIF):
```
data_Mn2BeMo
_chemical_formula_sum 'Mn8 Be4 Mo4'
_symmetry_space_group_name_H-M 'I -4 2 d'
_symmetry_Int_Tables_number 122
_symmetry_space_group_name_Hall 'I -4 2bw'
_cell_length_a 6.477
_cell_length_b 6.477
_cell_length_c 4.531
_cell_angle_alpha 90.00
_cell_angle_beta 90.00
_cell_angle_gamma 90.00
loop_
_atom_site_label
_atom_site_fract_x
_atom_site_fract_y
_atom_site_fract_z
Mn1 0.182 0.750 0.125
Be1 0.000 0.000 0.000
Mo1 0.000 0.000 0.500
```

Calculated values
Crystal system: tetragonal

=====

(10)
Compound: MnBe2Mo
Source: the Alexandria database
Functional: PBE
Structure: optimized geometry

Structure (CIF):
```
data_MnBe2Mo
_chemical_formula_sum 'Mn4 Be8 Mo4'
_symmetry_space_group_name_H-M 'F m -3 m'
_symmetry_Int_Tables_number 225
_symmetry_space_group_name_Hall '-F 4 2 3'
_cell_length_a 5.538
_cell_length_b 5.538
_cell_length_c 5.538
_cell_angle_alpha 90.00
_cell_angle_beta 90.00
_cell_angle_gamma 90.00
loop_
_atom_site_label
_atom_site_fract_x
_atom_site_fract_y
_atom_site_fract_z
Mn1 0.000 0.000 0.000
Be1 0.250 0.250 0.250
Mo1 0.000 0.000 0.500
```

Calculated values
Crystal system: cubic
Excess energy over the best structure of this formula in the dataset: 213 meV/atom

=====

(11)
Compound: MnBe2Mo
Source: the Alexandria database
Functional: PBE
Structure: optimized geometry

Structure (CIF):
```
data_MnBe2Mo
_chemical_formula_sum 'Mn1 Be2 Mo1'
_symmetry_space_group_name_H-M 'P 4 m m'
_symmetry_Int_Tables_number 99
_symmetry_space_group_name_Hall 'P 4 -2'
_cell_length_a 2.900
_cell_length_b 2.900
_cell_length_c 5.347
_cell_angle_alpha 90.00
_cell_angle_beta 90.00
_cell_angle_gamma 90.00
loop_
_atom_site_label
_atom_site_fract_x
_atom_site_fract_y
_atom_site_fract_z
Mn1 0.000 0.000 0.000
Be1 0.000 0.000 0.545
Be2 0.500 0.500 0.750
Mo1 0.500 0.500 0.244
```

Calculated values
Crystal system: tetragonal
Excess energy over the best structure of this formula in the dataset: 157 meV/atom

=====

(12)
Compound: MnBe2Mo
Source: the Alexandria database
Functional: PBE
Structure: optimized geometry

Structure (CIF):
```
data_MnBe2Mo
_chemical_formula_sum 'Mn2 Be4 Mo2'
_symmetry_space_group_name_H-M 'A m m 2'
_symmetry_Int_Tables_number 38
_symmetry_space_group_name_Hall 'A 2 -2'
_cell_length_a 3.331
_cell_length_b 2.914
_cell_length_c 8.755
_cell_angle_alpha 90.00
_cell_angle_beta 90.00
_cell_angle_gamma 90.00
loop_
_atom_site_label
_atom_site_fract_x
_atom_site_fract_y
_atom_site_fract_z
Mn1 0.000 0.000 0.000
Be1 0.000 0.000 0.281
Be2 0.500 0.000 0.412
Mo1 0.500 0.000 0.680
```

Calculated values
Crystal system: orthorhombic
Excess energy over the best structure of this formula in the dataset: 0 meV/atom

=====

(13)
Compound: MnBeMo2
Source: the Alexandria database
Functional: PBE
Structure: optimized geometry

Structure (CIF):
```
data_MnBeMo2
_chemical_formula_sum 'Mn2 Be2 Mo4'
_symmetry_space_group_name_H-M 'I -4 m 2'
_symmetry_Int_Tables_number 119
_symmetry_space_group_name_Hall 'I -4 -2'
_cell_length_a 3.485
_cell_length_b 3.485
_cell_length_c 8.539
_cell_angle_alpha 90.00
_cell_angle_beta 90.00
_cell_angle_gamma 90.00
loop_
_atom_site_label
_atom_site_fract_x
_atom_site_fract_y
_atom_site_fract_z
Mn1 0.000 0.000 0.000
Be1 0.000 0.500 0.250
Mo1 0.000 0.000 0.500
Mo2 0.000 0.500 0.750
```

Calculated values
Crystal system: tetragonal

=====

(14)
Compound: MnBe2Mo
Source: the Alexandria database
Functional: PBE
Structure: optimized geometry

Structure (CIF):
```
data_MnBe2Mo
_chemical_formula_sum 'Mn2 Be4 Mo2'
_symmetry_space_group_name_H-M 'C 1 2/m 1'
_symmetry_Int_Tables_number 12
_symmetry_space_group_name_Hall '-C 2y'
_cell_length_a 8.570
_cell_length_b 3.012
_cell_length_c 3.855
_cell_angle_alpha 90.00
_cell_angle_beta 116.62
_cell_angle_gamma 90.00
loop_
_atom_site_label
_atom_site_fract_x
_atom_site_fract_y
_atom_site_fract_z
Mn1 0.000 0.000 0.000
Be1 0.241 0.500 0.240
Mo1 0.000 0.500 0.500
```

Calculated values
Crystal system: monoclinic
Excess energy over the best structure of this formula in the dataset: 145 meV/atom

=====

(15)
Compound: Mn2BeMo
Source: the Alexandria database
Functional: PBE
Structure: optimized geometry

Structure (CIF):
```
data_Mn2BeMo
_chemical_formula_sum 'Mn2 Be1 Mo1'
_symmetry_space_group_name_H-M 'P 1 2/m 1'
_symmetry_Int_Tables_number 10
_symmetry_space_group_name_Hall '-P 2y'
_cell_length_a 2.506
_cell_length_b 4.010
_cell_length_c 4.698
_cell_angle_alpha 90.00
_cell_angle_beta 98.88
_cell_angle_gamma 90.00
loop_
_atom_site_label
_atom_site_fract_x
_atom_site_fract_y
_atom_site_fract_z
Mn1 0.215 0.000 0.225
Be1 0.500 0.500 0.000
Mo1 0.000 0.500 0.500
```

Calculated values
Crystal system: monoclinic

=====

no.,total energy (eV per cell)
1,-146.26
2,-32.59
3,-27.28
4,-129.38
5,-54.96
6,-34.17
7,-210.12
8,-27.07
9,-121.79
10,-107.35
11,-27.06
12,-55.38
13,-67.90
14,-54.22
15,-32.51